An optimized crystal structure of CrGa2MoO. Source: the Alexandria database, functional PBE+U.

Computed properties:
Energy above the most stable polymorph in this dataset   0 meV/atom
Spin magnetization   7.257 μB/f.u.
Raw total energy   -4.81 eV per atom
Theoretical density   5089 kg/m³
V   19.8 Å³ per atom

abc: 5.2741 5.2741 3.5587
angles: 90.00 90.00 90.00
With the nearest neighbours (Å) after each atom.
Positions (direct):
Cr1 0.0000 0.0000 0.0000  2 O 1.78
Ga1 0.0000 0.5000 0.0000  2 Cr 2.64
Ga2 0.5000 0.0000 0.0000  2 Cr 2.64
Mo1 0.5000 0.5000 0.5000  8 Ga 3.18, 2 Mo 3.56
O1 0.0000 0.0000 0.5000  2 Cr 1.78

---

An optimized crystal structure of CrGa2MoO. Source: the Alexandria database, functional PBE+U.

Computed properties:
Energy above the most stable polymorph in this dataset   1002 meV/atom
Spin magnetization   2.367 μB/f.u.
Raw total energy   -3.81 eV per atom
Theoretical density   4557 kg/m³
V   22.1 Å³ per atom

abc: 4.8010 4.8010 4.7960
angles: 90.00 90.00 90.00
With the nearest neighbours (Å) after each atom.
Positions (direct):
Cr1 0.0000 0.0000 0.0000  2 Mo 2.40, 4 Ga 2.40
Ga1 0.0000 0.5000 0.0000  2 Cr 2.40
Ga2 0.5000 0.0000 0.0000  2 Cr 2.40
Mo1 0.0000 0.0000 0.5000  2 Cr 2.40
O1 0.5000 0.5000 0.5000  8 Ga 3.39, 4 Mo 3.39

---

An optimized crystal structure of CrGa2MoO6. Source: the Alexandria database, functional PBE+U.

Computed properties:
Spin magnetization   6.000 μB/f.u.
Raw total energy   -6.88 eV per atom
Theoretical density   5390 kg/m³
V   11.8 Å³ per atom

abc: 6.6719 6.6719 5.4196
angles: 97.97 97.97 85.67
With the nearest neighbours (Å) after each atom.
Positions (direct):
Cr1 0.0900 0.9100 0.7500  6 O 1.99-2.12
Cr2 0.9100 0.0900 0.2500  6 O 1.99-2.12
Ga1 0.2139 0.4016 0.6932  4 O 1.84-1.91
Ga2 0.4016 0.2139 0.1932  4 O 1.84-1.91
Ga3 0.5984 0.7861 0.8068  4 O 1.84-1.91
Ga4 0.7861 0.5984 0.3068  4 O 1.84-1.91
Mo1 0.2703 0.7297 0.2500  6 O 2.15-2.19
Mo2 0.7297 0.2703 0.7500  6 O 2.15-2.19
O1 0.0243 0.1939 0.6152  1 Ga 1.91, 2 Cr 2.06-2.12
O2 0.1297 0.6410 0.8727  1 Ga 1.84, 1 Cr 1.99
O3 0.1939 0.0243 0.1152  1 Ga 1.91, 2 Cr 2.06-2.12
O4 0.2906 0.4375 0.3855  2 Ga 1.86
O5 0.3590 0.8703 0.6273  1 Ga 1.84, 1 Cr 1.99
O6 0.4375 0.2906 0.8855  2 Ga 1.86
O7 0.5625 0.7094 0.1145  2 Ga 1.86
O8 0.6410 0.1297 0.3727  1 Ga 1.84, 1 Cr 1.99
O9 0.7094 0.5625 0.6145  2 Ga 1.86
O10 0.8061 0.9757 0.8848  1 Ga 1.91, 2 Cr 2.06-2.12
O11 0.8703 0.3590 0.1273  1 Ga 1.84, 1 Cr 1.99
O12 0.9757 0.8061 0.3848  1 Ga 1.91, 2 Cr 2.06-2.12